# 1
Computed, not measured: a relaxed structure of VCd2Te at the PBE level of DFT.

abc: 8.4408 8.4408 6.5820
angles: 50.12 50.12 90.00
Each line ends with the local moment (μB).
Fractional coordinates of all 8 atoms:
Cd 0.6169 0.1250 0.2500  -0.02
Cd 0.1331 0.6250 0.2500  -0.02
Cd 0.3750 0.3831 0.7500  -0.02
Cd 0.8750 0.8669 0.7500  -0.02
Te 0.0000 0.0000 0.0000  -0.10
Te 0.7500 0.2500 0.5000  -0.10
V 0.5000 0.5000 0.0000  2.59
V 0.2500 0.7500 0.5000  2.59

Values from the calculation:
Total magnetic moment, Bohr magnetons per cell: 5.75
Symmetry: I-42d (122)
Calculated volume, Å³/f.u.: 98.8
D(E_F), states/eV/atom: 1.032
VASP energy, eV/f.u.: -12.7

=====

# 2
Computed, not measured: a relaxed structure of CdTeW4 at the PBE level of DFT.

abc: 5.4426 5.4426 5.4426
angles: 60.00 60.00 60.00
Fractional coordinates of all 6 atoms:
Cd 0.7500 0.7500 0.7500
Te 0.0000 0.0000 0.0000
W 0.8687 0.3771 0.3771
W 0.3771 0.3771 0.8687
W 0.3771 0.8687 0.3771
W 0.3771 0.3771 0.3771

Values from the calculation:
Total magnetic moment, Bohr magnetons per cell: 0.00
Symmetry: F-43m (216)
Calculated volume, Å³/f.u.: 114.0
D(E_F), states/eV/atom: 0.860
VASP energy, eV/f.u.: -50.9

=====

# 3
Computed, not measured: a relaxed structure of CdTeW at the PBE level of DFT.

abc: 7.0305 7.0305 7.0305
angles: 153.37 153.37 38.02
Fractional coordinates of all 3 atoms:
Te 0.2927 0.2927 0.0000
W 0.6742 0.6742 0.0000
Cd 0.0331 0.0331 0.0000

Values from the calculation:
Total magnetic moment, Bohr magnetons per cell: 0.00
Symmetry: I4mm (107)
ΔE to the lowest computed polymorph, meV per atom: 48.4
Calculated volume, Å³/f.u.: 69.7
D(E_F), states/eV/atom: 0.566

=====

# 4
Computed, not measured: a relaxed structure of CdTe2W at the PBE level of DFT.

abc: 6.4684 6.4684 7.8032
angles: 65.51 65.51 90.00
Fractional coordinates of all 8 atoms:
Te 0.6705 0.1250 0.2500
Te 0.0795 0.6250 0.2500
Te 0.3750 0.3295 0.7500
Te 0.8750 0.9205 0.7500
W 0.0000 0.0000 0.0000
W 0.7500 0.2500 0.5000
Cd 0.5000 0.5000 0.0000
Cd 0.2500 0.7500 0.5000

Values from the calculation:
Total magnetic moment, Bohr magnetons per cell: 0.00
Symmetry: I-42d (122)
Calculated volume, Å³/f.u.: 132.3
D(E_F), states/eV/atom: 0.900
VASP energy, eV/f.u.: -17.9

=====

# 5
Computed, not measured: a relaxed structure of CdTe2W at the PBE level of DFT.

abc: 3.4894 3.4894 10.4428
angles: 81.41 81.41 59.97
Fractional coordinates of all 4 atoms:
Te 0.0291 0.0291 0.9324
Te 0.4709 0.4709 0.5676
W 0.7500 0.7500 0.7500
Cd 0.2500 0.2500 0.2500

Values from the calculation:
Total magnetic moment, Bohr magnetons per cell: 0.00
Symmetry: C2/m (12)
Calculated volume, Å³/f.u.: 108.4
D(E_F), states/eV/atom: 0.361
VASP energy, eV/f.u.: -19.5

=====

# 6
Computed, not measured: a relaxed structure of CdTe2W at the PBE level of DFT.

abc: 5.6533 5.6533 7.3068
angles: 66.61 66.61 35.48
Fractional coordinates of all 4 atoms:
Te 0.9788 0.9788 0.0999
Te 0.8232 0.8232 0.6488
W 0.4904 0.4904 0.3743
Cd 0.2076 0.2076 0.3770

Values from the calculation:
Total magnetic moment, Bohr magnetons per cell: 0.00
Symmetry: Cm (8)
Calculated volume, Å³/f.u.: 123.2
D(E_F), states/eV/atom: 0.398
VASP energy, eV/f.u.: -19.0